one:
A plane-wave DFT calculation with GGA+U was carried out for a relaxed structure of LiNi4P3O12.

Output
Density of states at the Fermi level, states/eV per cell: 0.00
Symmetry: No. 58

```
LiNi4P3O12
1.0
9.574 0.000 0.000
0.000 16.337 0.000
0.000 0.000 6.140
Li Ni P O
4 16 12 48
direct
0.220 0.086 0.000 Li
0.280 0.586 0.500 Li
0.720 0.414 0.500 Li
0.780 0.914 0.000 Li
0.008 0.138 0.500 Ni
0.040 0.591 0.000 Ni
0.248 0.300 0.250 Ni
0.248 0.300 0.750 Ni
0.252 0.800 0.250 Ni
0.252 0.800 0.750 Ni
0.460 0.091 0.500 Ni
0.492 0.638 0.000 Ni
0.508 0.362 0.000 Ni
0.540 0.909 0.500 Ni
0.748 0.200 0.250 Ni
0.748 0.200 0.750 Ni
0.752 0.700 0.250 Ni
0.752 0.700 0.750 Ni
0.960 0.409 0.000 Ni
0.992 0.862 0.500 Ni
0.042 0.219 0.000 P
0.047 0.664 0.500 P
0.209 0.965 0.500 P
0.291 0.465 0.000 P
0.453 0.164 0.000 P
0.458 0.719 0.500 P
0.542 0.281 0.500 P
0.547 0.836 0.000 P
0.709 0.535 0.000 P
0.791 0.035 0.500 P
0.953 0.336 0.500 P
0.958 0.781 0.000 P
0.102 0.310 0.000 O
0.103 0.619 0.301 O
0.103 0.619 0.699 O
0.106 0.179 0.206 O
0.106 0.179 0.794 O
0.115 0.326 0.500 O
0.115 0.755 0.500 O
0.119 0.776 0.000 O
0.131 0.479 0.000 O
0.141 0.048 0.500 O
0.162 0.911 0.299 O
0.162 0.911 0.701 O
0.338 0.411 0.201 O
0.338 0.411 0.799 O
0.359 0.548 0.000 O
0.369 0.979 0.500 O
0.381 0.276 0.500 O
0.385 0.255 0.000 O
0.385 0.826 0.000 O
0.394 0.679 0.294 O
0.394 0.679 0.706 O
0.397 0.119 0.199 O
0.397 0.119 0.801 O
0.398 0.810 0.500 O
0.602 0.190 0.500 O
0.603 0.881 0.199 O
0.603 0.881 0.801 O
0.606 0.321 0.294 O
0.606 0.321 0.706 O
0.615 0.174 0.000 O
0.615 0.745 0.000 O
0.619 0.724 0.500 O
0.631 0.021 0.500 O
0.641 0.452 0.000 O
0.662 0.589 0.201 O
0.662 0.589 0.799 O
0.838 0.089 0.299 O
0.838 0.089 0.701 O
0.859 0.952 0.500 O
0.869 0.521 0.000 O
0.881 0.224 0.000 O
0.885 0.245 0.500 O
0.885 0.674 0.500 O
0.894 0.821 0.206 O
0.894 0.821 0.794 O
0.897 0.381 0.301 O
0.897 0.381 0.699 O
0.898 0.690 0.000 O
```



two:
A plane-wave DFT calculation with GGA+U was carried out for a relaxed structure of LiNi4P3O12.

Output
Density of states at the Fermi level, states/eV per cell: 0.00
Symmetry: No. 6

```
LiNi4P3O12
1.0
8.989 0.000 0.000
0.000 6.416 0.000
-0.070 0.000 14.560
Li Ni P O
4 16 12 48
direct
0.000 0.000 0.000 Li
0.002 0.000 0.664 Li
0.810 0.500 0.180 Li
0.990 0.000 0.330 Li
0.147 0.251 0.490 Ni
0.147 0.749 0.490 Ni
0.154 0.258 0.160 Ni
0.154 0.742 0.160 Ni
0.165 0.249 0.825 Ni
0.165 0.751 0.825 Ni
0.304 0.500 0.639 Ni
0.501 0.000 0.137 Ni
0.512 0.000 0.478 Ni
0.648 0.253 0.988 Ni
0.648 0.747 0.988 Ni
0.657 0.257 0.321 Ni
0.657 0.743 0.321 Ni
0.664 0.248 0.658 Ni
0.664 0.752 0.658 Ni
0.803 0.500 0.844 Ni
0.331 0.000 0.312 P
0.333 0.000 0.981 P
0.337 0.000 0.653 P
0.470 0.500 0.155 P
0.475 0.500 0.484 P
0.483 0.500 0.809 P
0.832 0.000 0.500 P
0.836 0.000 0.163 P
0.838 0.000 0.829 P
0.976 0.500 0.332 P
0.981 0.500 0.669 P
0.981 0.500 0.998 P
0.008 0.000 0.514 O
0.009 0.000 0.180 O
0.010 0.000 0.850 O
0.021 0.500 0.892 O
0.022 0.500 0.228 O
0.031 0.298 0.377 O
0.031 0.702 0.377 O
0.032 0.500 0.567 O
0.033 0.300 0.044 O
0.033 0.700 0.044 O
0.041 0.299 0.713 O
0.041 0.701 0.713 O
0.270 0.199 0.272 O
0.270 0.801 0.272 O
0.273 0.197 0.605 O
0.273 0.803 0.605 O
0.280 0.200 0.937 O
0.280 0.800 0.937 O
0.287 0.000 0.088 O
0.289 0.000 0.754 O
0.300 0.500 0.142 O
0.300 0.500 0.484 O
0.304 0.000 0.422 O
0.306 0.500 0.789 O
0.508 0.000 0.624 O
0.509 0.000 0.294 O
0.511 0.000 0.985 O
0.521 0.500 0.589 O
0.533 0.301 0.438 O
0.533 0.303 0.106 O
0.533 0.697 0.106 O
0.533 0.699 0.438 O
0.534 0.500 0.254 O
0.538 0.299 0.764 O
0.538 0.701 0.764 O
0.540 0.500 0.911 O
0.773 0.198 0.207 O
0.773 0.802 0.207 O
0.774 0.199 0.545 O
0.774 0.801 0.545 O
0.775 0.197 0.875 O
0.775 0.803 0.875 O
0.781 0.000 0.396 O
0.789 0.000 0.058 O
0.799 0.000 0.725 O
0.801 0.500 0.337 O
0.802 0.500 0.001 O
0.807 0.500 0.693 O
```



Stability, descending: one, two



one:
A plane-wave DFT calculation with GGA+U was carried out for a relaxed structure of LiNi3P3O11.

Output
Density of states at the Fermi level, states/eV per cell: 0.00
Symmetry: No. 14

```
LiNi3P3O11
1.0
7.737 0.000 0.000
0.000 9.025 0.000
-1.530 0.000 11.121
Li Ni P O
4 12 12 44
direct
0.172 0.185 0.482 Li
0.172 0.315 0.982 Li
0.828 0.685 0.018 Li
0.828 0.815 0.518 Li
0.073 0.625 0.259 Ni
0.073 0.875 0.759 Ni
0.431 0.619 0.157 Ni
0.431 0.881 0.657 Ni
0.452 0.635 0.429 Ni
0.452 0.865 0.929 Ni
0.548 0.135 0.071 Ni
0.548 0.365 0.571 Ni
0.569 0.119 0.343 Ni
0.569 0.381 0.843 Ni
0.927 0.125 0.241 Ni
0.927 0.375 0.741 Ni
0.214 0.580 0.900 P
0.214 0.920 0.400 P
0.224 0.568 0.647 P
0.224 0.932 0.147 P
0.314 0.179 0.796 P
0.314 0.321 0.296 P
0.686 0.679 0.704 P
0.686 0.821 0.204 P
0.776 0.068 0.853 P
0.776 0.432 0.353 P
0.786 0.080 0.600 P
0.786 0.420 0.100 P
0.033 0.511 0.879 O
0.033 0.989 0.379 O
0.054 0.014 0.126 O
0.054 0.486 0.626 O
0.128 0.233 0.790 O
0.128 0.267 0.290 O
0.214 0.740 0.648 O
0.214 0.760 0.148 O
0.219 0.750 0.396 O
0.219 0.750 0.896 O
0.317 0.004 0.785 O
0.317 0.496 0.285 O
0.317 0.525 0.787 O
0.317 0.975 0.287 O
0.319 0.513 0.011 O
0.319 0.987 0.511 O
0.352 0.516 0.562 O
0.352 0.984 0.062 O
0.409 0.235 0.923 O
0.409 0.265 0.423 O
0.423 0.250 0.205 O
0.423 0.250 0.705 O
0.577 0.750 0.295 O
0.577 0.750 0.795 O
0.591 0.735 0.577 O
0.591 0.765 0.077 O
0.648 0.016 0.938 O
0.648 0.484 0.438 O
0.681 0.013 0.489 O
0.681 0.487 0.989 O
0.683 0.025 0.713 O
0.683 0.475 0.213 O
0.683 0.504 0.715 O
0.683 0.996 0.215 O
0.781 0.250 0.104 O
0.781 0.250 0.604 O
0.786 0.240 0.852 O
0.786 0.260 0.352 O
0.872 0.733 0.710 O
0.872 0.767 0.210 O
0.946 0.514 0.374 O
0.946 0.986 0.874 O
0.967 0.011 0.621 O
0.967 0.489 0.121 O
```



two:
A plane-wave DFT calculation with GGA+U was carried out for a relaxed structure of LiNi3P3O11.

Output
Density of states at the Fermi level, states/eV per cell: 0.00
Symmetry: No. 14

```
LiNi3P3O11
1.0
9.698 0.000 0.000
0.000 9.523 0.000
-4.916 0.000 8.850
Li Ni P O
4 12 12 44
direct
0.179 0.177 0.208 Li
0.179 0.323 0.708 Li
0.821 0.677 0.292 Li
0.821 0.823 0.792 Li
0.231 0.633 0.876 Ni
0.231 0.867 0.376 Ni
0.406 0.127 0.901 Ni
0.406 0.373 0.401 Ni
0.418 0.632 0.237 Ni
0.418 0.868 0.737 Ni
0.582 0.132 0.263 Ni
0.582 0.368 0.763 Ni
0.594 0.627 0.599 Ni
0.594 0.873 0.099 Ni
0.769 0.133 0.624 Ni
0.769 0.367 0.124 Ni
0.096 0.562 0.248 P
0.096 0.938 0.748 P
0.263 0.574 0.575 P
0.263 0.926 0.075 P
0.389 0.162 0.568 P
0.389 0.338 0.068 P
0.611 0.662 0.932 P
0.611 0.838 0.432 P
0.737 0.074 0.925 P
0.737 0.426 0.425 P
0.904 0.062 0.252 P
0.904 0.438 0.752 P
0.042 0.525 0.859 O
0.042 0.975 0.359 O
0.079 0.720 0.235 O
0.079 0.780 0.735 O
0.120 0.523 0.419 O
0.120 0.977 0.919 O
0.234 0.519 0.700 O
0.234 0.981 0.200 O
0.255 0.515 0.258 O
0.255 0.985 0.758 O
0.264 0.226 0.418 O
0.264 0.274 0.918 O
0.275 0.735 0.568 O
0.275 0.765 0.068 O
0.379 0.228 0.706 O
0.379 0.272 0.206 O
0.387 0.001 0.565 O
0.387 0.499 0.065 O
0.416 0.502 0.585 O
0.416 0.998 0.085 O
0.450 0.729 0.911 O
0.450 0.771 0.411 O
0.550 0.229 0.589 O
0.550 0.271 0.089 O
0.584 0.002 0.915 O
0.584 0.498 0.415 O
0.613 0.501 0.935 O
0.613 0.999 0.435 O
0.621 0.728 0.794 O
0.621 0.772 0.294 O
0.725 0.235 0.932 O
0.725 0.265 0.432 O
0.736 0.726 0.082 O
0.736 0.774 0.582 O
0.745 0.015 0.242 O
0.745 0.485 0.742 O
0.766 0.019 0.800 O
0.766 0.481 0.300 O
0.880 0.023 0.081 O
0.880 0.477 0.581 O
0.921 0.220 0.265 O
0.921 0.280 0.765 O
0.958 0.025 0.641 O
0.958 0.475 0.141 O
```



Stability, descending: two, one



one:
A plane-wave DFT calculation with GGA+U was carried out for a relaxed structure of Li3Ni2P3O12.

Output
Density of states at the Fermi level, states/eV per cell: 15.31
Symmetry: No. 15

```
Li3Ni2P3O12
1.0
5.784 -6.251 0.000
5.784 6.251 0.000
-2.560 0.000 5.792
Li Ni P O
6 4 6 24
direct
0.000 0.000 0.000 Li
0.000 0.000 0.500 Li
0.215 0.785 0.750 Li
0.474 0.526 0.750 Li
0.526 0.474 0.250 Li
0.785 0.215 0.250 Li
0.125 0.447 0.869 Ni
0.447 0.125 0.369 Ni
0.553 0.875 0.631 Ni
0.875 0.553 0.131 Ni
0.165 0.367 0.366 P
0.210 0.790 0.250 P
0.367 0.165 0.866 P
0.633 0.835 0.134 P
0.790 0.210 0.750 P
0.835 0.633 0.634 P
0.031 0.767 0.267 O
0.047 0.206 0.303 O
0.102 0.455 0.178 O
0.167 0.495 0.597 O
0.206 0.047 0.803 O
0.233 0.969 0.233 O
0.236 0.680 0.027 O
0.320 0.764 0.473 O
0.348 0.350 0.896 O
0.350 0.348 0.396 O
0.455 0.102 0.678 O
0.495 0.167 0.097 O
0.505 0.833 0.903 O
0.545 0.898 0.322 O
0.650 0.652 0.604 O
0.652 0.650 0.104 O
0.680 0.236 0.527 O
0.764 0.320 0.973 O
0.767 0.031 0.767 O
0.794 0.953 0.197 O
0.833 0.505 0.403 O
0.898 0.545 0.822 O
0.953 0.794 0.697 O
0.969 0.233 0.733 O
```



two:
A plane-wave DFT calculation with GGA+U was carried out for a relaxed structure of Li3Ni2P3O12.

Output
Density of states at the Fermi level, states/eV per cell: 13.32
Symmetry: No. 148

```
Li3Ni2P3O12
1.0
4.232 2.443 7.473
-4.232 2.443 7.473
0.000 -4.887 7.473
Li Ni P O
6 4 6 24
direct
0.164 0.768 0.424 Li
0.232 0.576 0.836 Li
0.424 0.164 0.768 Li
0.576 0.836 0.232 Li
0.768 0.424 0.164 Li
0.836 0.232 0.576 Li
0.149 0.149 0.149 Ni
0.357 0.357 0.357 Ni
0.643 0.643 0.643 Ni
0.851 0.851 0.851 Ni
0.044 0.459 0.749 P
0.251 0.956 0.541 P
0.459 0.749 0.044 P
0.541 0.251 0.956 P
0.749 0.044 0.459 P
0.956 0.541 0.251 P
0.005 0.666 0.036 O
0.036 0.005 0.666 O
0.045 0.652 0.713 O
0.098 0.501 0.326 O
0.249 0.360 0.630 O
0.287 0.955 0.348 O
0.326 0.098 0.501 O
0.334 0.964 0.995 O
0.348 0.287 0.955 O
0.360 0.630 0.249 O
0.370 0.751 0.640 O
0.499 0.674 0.902 O
0.501 0.326 0.098 O
0.630 0.249 0.360 O
0.640 0.370 0.751 O
0.652 0.713 0.045 O
0.666 0.036 0.005 O
0.674 0.902 0.499 O
0.713 0.045 0.652 O
0.751 0.640 0.370 O
0.902 0.499 0.674 O
0.955 0.348 0.287 O
0.964 0.995 0.334 O
0.995 0.334 0.964 O
```



Stability, descending: two, one